## AlCoH2O (PBE+U)

Data for a relaxed structure of AlCoH2O.

Its final energy is -21.8 eV per cell. As for the mass density: 4.09 g cm⁻³.

The space group is P4/mmm (No. 123) and the conventional cell measures 3.021, 3.021 and 4.623 Å, with angles of 90.00, 90.00 and 90.00 degrees. The asymmetric unit holds Al at (0.000, 0.000, 0.000), Co at (0.500, 0.500, 0.500), H at (0.000, 0.500, 0.500) and O at (0.500, 0.500, 0.000).